Computed, not measured: a relaxed BaSiSeN2 crystal at the GGA-PBE level of DFT.

Cell and atoms, written as POSCAR:
```
BaSiSeN2
1.0
4.137 0.000 0.000
0.000 4.137 0.000
0.000 0.000 4.940
Ba Si Se N
1 1 1 2
Cartesian
0.000 0.000 0.000
2.069 2.069 2.470
2.069 2.069 0.000
0.000 2.069 2.470
2.069 0.000 2.470
```

Calculated values
Electronic total energy (Ry/atom): -0.388
Polymorph energy (0 for the lowest one) (kcal/mol of atoms): 0.00
Magnetization (μB per formula unit): 1.7
Formation energy (no corrections) (meV per atom): 223